A plane-wave DFT calculation with PBE was carried out for a relaxed ZrAlSCl2 crystal.

Values from the calculation:
Calculated volume: 20.87 Å³ per atom
Uncorrected formation energy: -0.301 eV per atom
Offset from the most stable computed form: 538 meV per atom
Theoretical density: 3.5 g cm⁻³

Cell and atoms, written as extended XYZ:
```
5
Lattice="-1.491 -0.182 4.410 0.782 -4.592 0.075 4.484 0.789 1.548" Properties=species:S:1:pos:R:3 pbc="T T T"
Al 0.000 0.000 0.000
Cl 0.391 -2.296 0.037
Cl -0.745 -0.091 2.205
S 2.242 0.394 0.774
Zr 1.887 -1.993 3.017
```